1.
# PBE GeWS2Cl, optimized geometry
data_GeWS2Cl
_chemical_formula_sum 'Ge1 W1 S2 Cl1'
_cell_length_a 4.7822
_cell_length_b 4.7822
_cell_length_c 4.6007
_cell_angle_alpha 90.00
_cell_angle_beta 90.00
_cell_angle_gamma 90.00
_symmetry_space_group_name_H-M 'P 4/m m m'
_symmetry_Int_Tables_number 123
_symmetry_space_group_name_Hall '-P 4 2'
loop_
_atom_site_label
_atom_site_fract_x
_atom_site_fract_y
_atom_site_fract_z
Ge1 0.0000 0.0000 0.0000
W1 0.5000 0.5000 0.5000
S1 0.0000 0.5000 0.0000
Cl1 0.0000 0.0000 0.5000
# Distance to the lowest polymorph of the same formula: 394 kJ/mol of formula units
# Density of states at the Fermi level: 1.44 states/eV/f.u.
# ρ: 5.62 g/cm3

2.
# PBE YGeSCl2, optimized geometry
data_YGeSCl2
_chemical_formula_sum 'Y1 Ge1 S1 Cl2'
_cell_length_a 5.0050
_cell_length_b 5.0050
_cell_length_c 5.2991
_cell_angle_alpha 90.00
_cell_angle_beta 90.00
_cell_angle_gamma 90.00
_symmetry_space_group_name_H-M 'P 4/m m m'
_symmetry_Int_Tables_number 123
_symmetry_space_group_name_Hall '-P 4 2'
loop_
_atom_site_label
_atom_site_fract_x
_atom_site_fract_y
_atom_site_fract_z
Y1 0.0000 0.0000 0.0000
Ge1 0.5000 0.5000 0.0000
S1 0.0000 0.0000 0.5000
Cl1 0.0000 0.5000 0.5000
# Distance to the lowest polymorph of the same formula: 413 kJ/mol of formula units
# Density of states at the Fermi level: 3.26 states/eV/f.u.
# ρ: 3.31 g/cm3

3.
# PBE YGeS2Cl, optimized geometry
data_YGeS2Cl
_chemical_formula_sum 'Y1 Ge1 S2 Cl1'
_cell_length_a 4.8886
_cell_length_b 4.8886
_cell_length_c 4.6990
_cell_angle_alpha 90.00
_cell_angle_beta 90.00
_cell_angle_gamma 90.00
_symmetry_space_group_name_H-M 'P 4/m m m'
_symmetry_Int_Tables_number 123
_symmetry_space_group_name_Hall '-P 4 2'
loop_
_atom_site_label
_atom_site_fract_x
_atom_site_fract_y
_atom_site_fract_z
Y1 0.0000 0.0000 0.0000
Ge1 0.5000 0.5000 0.5000
S1 0.0000 0.5000 0.5000
Cl1 0.5000 0.5000 0.0000
# Distance to the lowest polymorph of the same formula: 34 kJ/mol of formula units
# Density of states at the Fermi level: 1.54 states/eV/f.u.
# ρ: 3.86 g/cm3

4.
# PBE YGeSCl2, optimized geometry
data_YGeSCl2
_chemical_formula_sum 'Y1 Ge1 S1 Cl2'
_cell_length_a 5.2092
_cell_length_b 5.2092
_cell_length_c 5.3658
_cell_angle_alpha 90.00
_cell_angle_beta 90.00
_cell_angle_gamma 90.00
_symmetry_space_group_name_H-M 'P 4/m m m'
_symmetry_Int_Tables_number 123
_symmetry_space_group_name_Hall '-P 4 2'
loop_
_atom_site_label
_atom_site_fract_x
_atom_site_fract_y
_atom_site_fract_z
Y1 0.0000 0.0000 0.0000
Ge1 0.5000 0.5000 0.5000
S1 0.0000 0.0000 0.5000
Cl1 0.0000 0.5000 0.0000
# Distance to the lowest polymorph of the same formula: 0 kJ/mol of formula units
# Density of states at the Fermi level: 2.47 states/eV/f.u.
# ρ: 3.02 g/cm3

5.
# PBE YGeSCl2, optimized geometry
data_YGeSCl2
_chemical_formula_sum 'Y1 Ge1 S1 Cl2'
_cell_length_a 4.9267
_cell_length_b 4.9267
_cell_length_c 5.1690
_cell_angle_alpha 90.00
_cell_angle_beta 90.00
_cell_angle_gamma 90.00
_symmetry_space_group_name_H-M 'P 4/m m m'
_symmetry_Int_Tables_number 123
_symmetry_space_group_name_Hall '-P 4 2'
loop_
_atom_site_label
_atom_site_fract_x
_atom_site_fract_y
_atom_site_fract_z
Y1 0.0000 0.0000 0.0000
Ge1 0.5000 0.5000 0.5000
S1 0.5000 0.5000 0.0000
Cl1 0.0000 0.5000 0.5000
# Distance to the lowest polymorph of the same formula: 208 kJ/mol of formula units
# Density of states at the Fermi level: 3.75 states/eV/f.u.
# ρ: 3.50 g/cm3

6.
# PBE YGeS2Cl, optimized geometry
data_YGeS2Cl
_chemical_formula_sum 'Y1 Ge1 S2 Cl1'
_cell_length_a 5.2882
_cell_length_b 5.2882
_cell_length_c 5.0546
_cell_angle_alpha 90.00
_cell_angle_beta 90.00
_cell_angle_gamma 90.00
_symmetry_space_group_name_H-M 'P 4/m m m'
_symmetry_Int_Tables_number 123
_symmetry_space_group_name_Hall '-P 4 2'
loop_
_atom_site_label
_atom_site_fract_x
_atom_site_fract_y
_atom_site_fract_z
Y1 0.0000 0.0000 0.0000
Ge1 0.5000 0.5000 0.5000
S1 0.0000 0.5000 0.0000
Cl1 0.0000 0.0000 0.5000
# Distance to the lowest polymorph of the same formula: 0 kJ/mol of formula units
# Density of states at the Fermi level: 0.63 states/eV/f.u.
# ρ: 3.07 g/cm3

7.
# PBE ZnGeSCl2, optimized geometry
data_ZnGeSCl2
_chemical_formula_sum 'Zn1 Ge1 S1 Cl2'
_cell_length_a 4.6851
_cell_length_b 4.6851
_cell_length_c 5.0018
_cell_angle_alpha 90.00
_cell_angle_beta 90.00
_cell_angle_gamma 90.00
_symmetry_space_group_name_H-M 'P 4/m m m'
_symmetry_Int_Tables_number 123
_symmetry_space_group_name_Hall '-P 4 2'
loop_
_atom_site_label
_atom_site_fract_x
_atom_site_fract_y
_atom_site_fract_z
Zn1 0.0000 0.0000 0.0000
Ge1 0.5000 0.5000 0.5000
S1 0.0000 0.0000 0.5000
Cl1 0.0000 0.5000 0.0000
# Distance to the lowest polymorph of the same formula: 0 kJ/mol of formula units
# Density of states at the Fermi level: 0.12 states/eV/f.u.
# ρ: 3.65 g/cm3

8.
# PBE ZnGeS2Cl, optimized geometry
data_ZnGeS2Cl
_chemical_formula_sum 'Zn1 Ge1 S2 Cl1'
_cell_length_a 4.6643
_cell_length_b 4.6643
_cell_length_c 4.8504
_cell_angle_alpha 90.00
_cell_angle_beta 90.00
_cell_angle_gamma 90.00
_symmetry_space_group_name_H-M 'P 4/m m m'
_symmetry_Int_Tables_number 123
_symmetry_space_group_name_Hall '-P 4 2'
loop_
_atom_site_label
_atom_site_fract_x
_atom_site_fract_y
_atom_site_fract_z
Zn1 0.0000 0.0000 0.0000
Ge1 0.5000 0.5000 0.5000
S1 0.0000 0.5000 0.0000
Cl1 0.0000 0.0000 0.5000
# Distance to the lowest polymorph of the same formula: 0 kJ/mol of formula units
# Density of states at the Fermi level: 2.57 states/eV/f.u.
# ρ: 3.74 g/cm3

9.
# PBE ZrGeSCl2, optimized geometry
data_ZrGeSCl2
_chemical_formula_sum 'Zr1 Ge1 S1 Cl2'
_cell_length_a 5.0368
_cell_length_b 5.0368
_cell_length_c 5.0406
_cell_angle_alpha 90.00
_cell_angle_beta 90.00
_cell_angle_gamma 90.00
_symmetry_space_group_name_H-M 'P 4/m m m'
_symmetry_Int_Tables_number 123
_symmetry_space_group_name_Hall '-P 4 2'
loop_
_atom_site_label
_atom_site_fract_x
_atom_site_fract_y
_atom_site_fract_z
Zr1 0.0000 0.0000 0.0000
Ge1 0.5000 0.5000 0.5000
S1 0.0000 0.0000 0.5000
Cl1 0.0000 0.5000 0.0000
# Distance to the lowest polymorph of the same formula: 0 kJ/mol of formula units
# Density of states at the Fermi level: 4.23 states/eV/f.u.
# ρ: 3.46 g/cm3

10.
# PBE ZrGeS2Cl, optimized geometry
data_ZrGeS2Cl
_chemical_formula_sum 'Zr1 Ge1 S2 Cl1'
_cell_length_a 4.7862
_cell_length_b 4.7862
_cell_length_c 4.6785
_cell_angle_alpha 90.00
_cell_angle_beta 90.00
_cell_angle_gamma 90.00
_symmetry_space_group_name_H-M 'P 4/m m m'
_symmetry_Int_Tables_number 123
_symmetry_space_group_name_Hall '-P 4 2'
loop_
_atom_site_label
_atom_site_fract_x
_atom_site_fract_y
_atom_site_fract_z
Zr1 0.0000 0.0000 0.0000
Ge1 0.5000 0.5000 0.5000
S1 0.0000 0.5000 0.5000
Cl1 0.5000 0.5000 0.0000
# Distance to the lowest polymorph of the same formula: 272 kJ/mol of formula units
# Density of states at the Fermi level: 4.17 states/eV/f.u.
# ρ: 4.08 g/cm3

11.
# PBE ZrGeS2Cl, optimized geometry
data_ZrGeS2Cl
_chemical_formula_sum 'Zr1 Ge1 S2 Cl1'
_cell_length_a 5.0141
_cell_length_b 5.0141
_cell_length_c 4.9689
_cell_angle_alpha 90.00
_cell_angle_beta 90.00
_cell_angle_gamma 90.00
_symmetry_space_group_name_H-M 'P 4/m m m'
_symmetry_Int_Tables_number 123
_symmetry_space_group_name_Hall '-P 4 2'
loop_
_atom_site_label
_atom_site_fract_x
_atom_site_fract_y
_atom_site_fract_z
Zr1 0.0000 0.0000 0.0000
Ge1 0.5000 0.5000 0.5000
S1 0.0000 0.5000 0.0000
Cl1 0.0000 0.0000 0.5000
# Distance to the lowest polymorph of the same formula: 0 kJ/mol of formula units
# Density of states at the Fermi level: 2.50 states/eV/f.u.
# ρ: 3.50 g/cm3

12.
# PBE ZrGeSCl2, optimized geometry
data_ZrGeSCl2
_chemical_formula_sum 'Zr1 Ge1 S1 Cl2'
_cell_length_a 4.8788
_cell_length_b 4.8788
_cell_length_c 5.0833
_cell_angle_alpha 90.00
_cell_angle_beta 90.00
_cell_angle_gamma 90.00
_symmetry_space_group_name_H-M 'P 4/m m m'
_symmetry_Int_Tables_number 123
_symmetry_space_group_name_Hall '-P 4 2'
loop_
_atom_site_label
_atom_site_fract_x
_atom_site_fract_y
_atom_site_fract_z
Zr1 0.0000 0.0000 0.0000
Ge1 0.5000 0.5000 0.5000
S1 0.5000 0.5000 0.0000
Cl1 0.0000 0.5000 0.5000
# Distance to the lowest polymorph of the same formula: 297 kJ/mol of formula units
# Density of states at the Fermi level: 4.44 states/eV/f.u.
# ρ: 3.66 g/cm3

13.
# PBE GeSb3Cl, optimized geometry
data_GeSb3Cl
_chemical_formula_sum 'Ge1 Sb3 Cl1'
_cell_length_a 5.3138
_cell_length_b 5.3138
_cell_length_c 5.3138
_cell_angle_alpha 90.00
_cell_angle_beta 90.00
_cell_angle_gamma 90.00
_symmetry_space_group_name_H-M 'P m -3 m'
_symmetry_Int_Tables_number 221
_symmetry_space_group_name_Hall '-P 4 2 3'
loop_
_atom_site_label
_atom_site_fract_x
_atom_site_fract_y
_atom_site_fract_z
Ge1 0.0000 0.0000 0.0000
Sb1 0.0000 0.5000 0.5000
Cl1 0.5000 0.5000 0.5000
# Distance to the lowest polymorph of the same formula: 340 kJ/mol of formula units
# Density of states at the Fermi level: 3.15 states/eV/f.u.
# ρ: 5.24 g/cm3